# 1
The following is a PBE calculation of a geometry-optimized Pa2AgAu structure, from Alexandria.

* total moment: 0.00 μB per formula unit
* energy above the lowest structure with this stoichiometry: 58.3 meV per atom
* energy of formation from the pure elements: 0.069 eV per formula unit

abc: 3.1114 3.1114 32.0142
angles: 90.00 90.00 120.00
Space group R-3m (No. 166, hexagonal axes)
Asymmetric unit:
1 Pa 0.0000 0.0000 0.2483 x6
2 Ag 0.0000 0.0000 0.0000 x3
3 Au 0.0000 0.0000 0.5000 x3

---

# 2
The following is a PBE calculation of a geometry-optimized Nd3Dy8Tm3 structure, from Alexandria.

* total moment: 0.00 μB per formula unit
* energy of formation from the pure elements: 1.507 eV per formula unit

abc: 5.639 10.788 14.972
angles: 90.00 90.00 90.00
Space group Immm (No. 71)
Asymmetric unit:
1 Nd 0.000 0.000 0.000 x2
2 Nd 0.000 0.500 0.318 x4
3 Dy 0.000 0.160 0.279 x8
4 Dy 0.000 0.342 0.102 x8
5 Tm 0.000 0.000 0.500 x2
6 Tm 0.000 0.295 0.500 x4